Material: LiLa2Ga4Si3
Method: DFT, GGA-PBE
State: optimized geometry

SG: P-4m2
magnetization: 0.00 μB/cell
formation energy (no corrections): -0.385 eV per atom

Unit cell a=4.263 b=4.263 c=10.909 alpha=90.00 beta=90.00 gamma=90.00
Fractional coordinates of all 10 atoms:
Ga 0.500 0.000 0.632
Ga 0.500 0.500 0.000
Ga 0.000 0.500 0.368
Ga 0.000 0.000 0.000
La 0.500 0.000 0.245
La 0.000 0.500 0.755
Si 0.000 0.000 0.500
Si 0.500 0.000 0.862
Si 0.000 0.500 0.138
Li 0.500 0.500 0.500